## ZnCdGa (PBE)

Data for a relaxed ZnCdGa crystal.

Cell lengths 3.3421, 3.3421, 5.7242 Å; angles 106.97, 106.97, 90.00 degrees
Last column: nearest neighbours and their distance in Å.
Element x y z (fractional)
Ga 0.3189 0.3189 0.6377  4 Zn 2.79, 4 Cd 3.06
Cd 0.0046 0.0046 0.0092  4 Zn 2.97, 5 Ga 3.06-3.28
Zn 0.6766 0.6766 0.3531  4 Ga 2.79, 4 Cd 2.97

Calculated values
DFT total energy: -4.951 eV for the cell shown
magnetic moment: 0.00 μB per cell
E_form: 88 meV per atom
SG: I4mm